No. 1
Material: Ca2AcCd3
Method: DFT, PBE-GGA
State: relaxed

Summary:
DOS(E_F) (states/eV per cell): 3.93
Size of the total moment (μB/atom): 0.000
Formation enthalpy at 0 K (eV/f.u.): -2.10
Raw total energy (eV per atom): -2.16

Cell: 5.552 5.552 6.874 Å, 90.00 90.00 120.00°
Sites, in units of the cell vectors:
Ca: 0.667 0.333 0.342
Ca: 0.333 0.667 0.658
Ac: 0.000 0.000 0.000
Cd: 0.000 0.000 0.500
Cd: 0.667 0.333 0.824
Cd: 0.333 0.667 0.176

---

No. 2
Material: AcPm2C2N6
Method: DFT, PBE-GGA
State: relaxed

Summary:
DOS(E_F) (states/eV per cell): 2.12
Raw formation energy (meV/atom): -711
Size of the total moment (μB/atom): 0.078
Raw total energy (eV per atom): -8.17

Cell: 6.655 6.869 4.998 Å, 111.63 95.16 48.27°
Sites, in units of the cell vectors:
Ac: 0.500 0.000 0.500
Pm: 0.755 0.395 0.751
Pm: 0.245 0.605 0.249
C: 0.010 0.746 0.790
C: 0.990 0.254 0.210
N: 0.298 0.525 0.721
N: 0.154 0.252 0.058
N: 0.888 0.956 0.693
N: 0.846 0.748 0.942
N: 0.112 0.044 0.307
N: 0.702 0.475 0.279

---

No. 3
Material: Sc2ReP
Method: DFT, PBE-GGA
State: relaxed

Summary:
DOS(E_F) (states/eV per cell): 2.61
Size of the total moment (μB/atom): 0.000
Formation enthalpy at 0 K (eV/f.u.): -2.36
Raw total energy (eV per atom): -8.22

Cell: 5.292 5.292 4.042 Å, 90.00 90.00 140.41°
Sites, in units of the cell vectors:
Sc: 0.107 0.893 0.000
Sc: 0.397 0.603 0.500
Re: 0.679 0.321 0.500
P: 0.819 0.181 0.000

---

No. 4
Material: Al2BiN
Method: DFT, PBE-GGA
State: relaxed

Summary:
DOS(E_F) (states/eV per cell): 0.28
Raw formation energy (meV/atom): -294
Size of the total moment (μB/atom): 0.000
Raw total energy (eV per atom): -5.22

Cell: 5.388 5.388 6.400 Å, 65.11 65.11 90.00°
Sites, in units of the cell vectors:
N: 0.500 0.500 0.000
N: 0.250 0.750 0.500
Bi: 0.000 0.000 0.000
Bi: 0.750 0.250 0.500
Al: 0.491 0.125 0.250
Al: 0.259 0.625 0.250
Al: 0.375 0.509 0.750
Al: 0.875 0.741 0.750

---

No. 5
Material: NdZrPS
Method: DFT, PBE-GGA
State: relaxed

Summary:
DOS(E_F) (states/eV per cell): 5.23
Raw formation energy (meV/atom): -1378
Size of the total moment (μB/atom): 0.000
Raw total energy (eV per atom): -7.09

Cell: 4.636 4.636 10.556 Å, 77.32 77.32 60.00°
Sites, in units of the cell vectors:
Nd: 0.613 0.613 0.161
Nd: 0.387 0.387 0.839
Zr: 0.798 0.798 0.606
Zr: 0.202 0.202 0.394
P: 0.117 0.117 0.648
P: 0.883 0.883 0.352
S: 0.706 0.706 0.882
S: 0.294 0.294 0.118

---

No. 6
Material: CePu3Se6
Method: DFT, PBE-GGA
State: relaxed

Summary:
DOS(E_F) (states/eV per cell): 77.58
Raw formation energy (meV/atom): -1533
Size of the total moment (μB/atom): 0.439
Raw total energy (eV per atom): -8.52

Cell: 4.170 11.591 11.985 Å, 108.33 90.00 90.00°
Sites, in units of the cell vectors:
Ce: 0.750 0.046 0.694
Ce: 0.250 0.954 0.306
Pu: 0.750 0.435 0.833
Pu: 0.250 0.565 0.167
Pu: 0.750 0.679 0.497
Pu: 0.250 0.321 0.503
Pu: 0.750 0.156 0.082
Pu: 0.250 0.844 0.918
Se: 0.750 0.486 0.617
Se: 0.250 0.514 0.383
Se: 0.750 0.915 0.097
Se: 0.250 0.085 0.903
Se: 0.750 0.397 0.060
Se: 0.250 0.603 0.940
Se: 0.750 0.743 0.274
Se: 0.250 0.257 0.726
Se: 0.750 0.115 0.463
Se: 0.250 0.885 0.537
Se: 0.750 0.810 0.751
Se: 0.250 0.190 0.249

---

No. 7
Material: K3Co
Method: DFT, PBE-GGA
State: relaxed

Summary:
DOS(E_F) (states/eV per cell): 8.19
Size of the total moment (μB/atom): 0.437
Formation enthalpy at 0 K (eV/f.u.): 3.24
Raw total energy (eV per atom): -1.79

Cell: 6.261 6.261 6.261 Å, 120.43 120.43 89.26°
Sites, in units of the cell vectors:
K: 0.750 0.250 0.500
K: 0.250 0.750 0.500
K: 0.500 0.500 0.000
Co: 0.000 0.000 0.000

---

No. 8
Material: TcOsIO2
Method: DFT, PBE-GGA
State: relaxed

Summary:
DOS(E_F) (states/eV per cell): 3.42
Raw formation energy (meV/atom): 261
Size of the total moment (μB/atom): 0.581
Raw total energy (eV per atom): -6.35

Cell: 3.768 3.768 8.237 Å, 90.00 90.00 90.00°
Sites, in units of the cell vectors:
I: 0.000 0.000 0.500
Os: 0.000 0.000 0.000
Tc: 0.500 0.500 0.500
O: 0.000 0.500 0.000
O: 0.500 0.000 0.000

---

No. 9
Material: Mg2ZrGaN
Method: DFT, PBE-GGA
State: relaxed

Summary:
DOS(E_F) (states/eV per cell): 0.64
Raw formation energy (meV/atom): -659
Size of the total moment (μB/atom): 0.000
Raw total energy (eV per atom): -5.28

Cell: 4.224 4.224 4.503 Å, 90.00 90.00 90.00°
Sites, in units of the cell vectors:
Mg: 0.000 0.500 0.000
Mg: 0.500 0.000 0.000
Ga: 0.500 0.500 0.500
Zr: 0.000 0.000 0.500
N: 0.000 0.000 0.000

---

No. 10
Material: Zr4TeCl
Method: DFT, PBE-GGA
State: relaxed

Summary:
DOS(E_F) (states/eV per cell): 5.05
Raw formation energy (meV/atom): 250
Size of the total moment (μB/atom): 0.000
Raw total energy (eV per atom): -6.28

Cell: 5.876 5.876 5.876 Å, 60.00 60.00 60.00°
Sites, in units of the cell vectors:
Zr: 0.876 0.375 0.375
Zr: 0.375 0.375 0.876
Zr: 0.375 0.876 0.375
Zr: 0.375 0.375 0.375
Te: 0.000 0.000 0.000
Cl: 0.750 0.750 0.750

---

No. 11
Material: CdHg2Sb
Method: DFT, PBE-GGA
State: relaxed

Summary:
DOS(E_F) (states/eV per cell): 2.06
Raw formation energy (meV/atom): 55
Size of the total moment (μB/atom): 0.000
Raw total energy (eV per atom): -1.36

Cell: 6.599 6.599 5.607 Å, 111.64 111.64 28.62°
Sites, in units of the cell vectors:
Sb: 0.250 0.250 0.250
Hg: 0.996 0.996 0.996
Hg: 0.504 0.504 0.504
Cd: 0.750 0.750 0.750

---

No. 12
Material: Rb2NbFeCu
Method: DFT, PBE-GGA
State: relaxed

Summary:
DOS(E_F) (states/eV per cell): 6.83
Size of the total moment (μB/atom): 0.000
Formation enthalpy at 0 K (eV/f.u.): 7.16
Raw total energy (eV per atom): -3.48

Cell: 6.679 4.299 6.679 Å, 90.00 90.00 90.00°
Sites, in units of the cell vectors:
Nb: 0.000 0.500 0.000
Cu: 0.500 0.500 0.500
Rb: 0.000 0.000 0.500
Rb: 0.500 0.000 0.000
Fe: 0.000 0.000 0.000

---

No. 13
Material: Dy2ZnSn2
Method: DFT, PBE-GGA
State: relaxed

Summary:
DOS(E_F) (states/eV per cell): 1.62
Size of the total moment (μB/atom): 0.000
Formation enthalpy at 0 K (eV/f.u.): -2.77
Raw total energy (eV per atom): -4.25

Cell: 4.617 6.899 8.566 Å, 90.00 105.63 90.00°
Sites, in units of the cell vectors:
Dy: 0.991 0.725 0.981
Dy: 0.797 0.441 0.594
Dy: 0.203 0.941 0.406
Dy: 0.009 0.225 0.019
Zn: 0.405 0.051 0.811
Zn: 0.595 0.551 0.189
Sn: 0.426 0.461 0.852
Sn: 0.827 0.957 0.655
Sn: 0.173 0.457 0.345
Sn: 0.574 0.961 0.148

---

No. 14
Material: Tm8TlAg2
Method: DFT, PBE-GGA
State: relaxed

Summary:
DOS(E_F) (states/eV per cell): 14.82
Size of the total moment (μB/atom): 0.000
Formation enthalpy at 0 K (eV/f.u.): -0.49
Raw total energy (eV per atom): -4.03

Cell: 5.373 8.250 8.250 Å, 116.60 99.87 99.87°
Sites, in units of the cell vectors:
Tm: 0.896 0.907 0.670
Tm: 0.896 0.670 0.907
Tm: 0.304 0.604 0.604
Tm: 0.500 0.772 0.228
Tm: 0.500 0.228 0.772
Tm: 0.696 0.396 0.396
Tm: 0.104 0.330 0.093
Tm: 0.104 0.093 0.330
Tl: 0.500 0.000 0.000
Ag: 0.000 0.304 0.696
Ag: 0.000 0.696 0.304

---

No. 15
Material: Pa2PtAu
Method: DFT, PBE-GGA
State: relaxed

Summary:
DOS(E_F) (states/eV per cell): 7.40
Size of the total moment (μB/atom): 0.001
Formation enthalpy at 0 K (eV/f.u.): -1.84
Raw total energy (eV per atom): -7.54

Cell: 5.013 5.013 5.013 Å, 60.00 60.00 60.00°
Sites, in units of the cell vectors:
Pa: 0.250 0.250 0.250
Pa: 0.750 0.750 0.750
Au: 0.000 0.000 0.000
Pt: 0.500 0.500 0.500

---

No. 16
Material: Ce3CdAu
Method: DFT, PBE-GGA
State: relaxed

Summary:
DOS(E_F) (states/eV per cell): 25.06
Size of the total moment (μB/atom): 0.369
Formation enthalpy at 0 K (eV/f.u.): -1.27
Raw total energy (eV per atom): -4.65

Cell: 3.532 8.040 9.151 Å, 100.05 90.00 90.00°
Sites, in units of the cell vectors:
Ce: 0.750 0.513 0.171
Ce: 0.250 0.215 0.170
Ce: 0.750 0.943 0.383
Ce: 0.250 0.487 0.829
Ce: 0.250 0.057 0.617
Ce: 0.750 0.785 0.830
Cd: 0.750 0.354 0.495
Cd: 0.250 0.646 0.505
Au: 0.250 0.810 0.115
Au: 0.750 0.190 0.885